1.
DFT (PBE) results for a geometry-optimized TlAgRuCl6 structure.

Summary:
E_form (uncorrected) ... -0.61 eV per atom
SG ... P312

a b c (Å): 6.7932 6.7932 6.6439
angles (deg): 90.00 90.00 120.00
Atoms (fractional coordinates):
Tl (0.0000, 0.0000, 0.0000)
Ag (0.3333, 0.6667, 0.5000)
Ru (0.6667, 0.3333, 0.5000)
Cl (0.3908, 0.0425, 0.7034)
Cl (0.3908, 0.3483, 0.2966)
Cl (0.6517, 0.0425, 0.2966)
Cl (0.6517, 0.6092, 0.7034)
Cl (0.9575, 0.3483, 0.7034)
Cl (0.9575, 0.6092, 0.2966)

2.
DFT (PBE) results for a geometry-optimized Tl2AgRuCl6 structure.

Summary:
E_form (uncorrected) ... -0.69 eV per atom
SG ... R-3m

a b c (Å): 13.4145 13.4145 13.4145
angles (deg): 30.50 30.50 30.50
Atoms (fractional coordinates):
Tl (0.1362, 0.1362, 0.1362)
Tl (0.3046, 0.3046, 0.3046)
Tl (0.6954, 0.6954, 0.6954)
Tl (0.8638, 0.8638, 0.8638)
Ag (0.4130, 0.4130, 0.4130)
Ag (0.5870, 0.5870, 0.5870)
Ru (0.0000, 0.0000, 0.0000)
Ru (0.5000, 0.5000, 0.5000)
Cl (0.1463, 0.6226, 0.6226)
Cl (0.1957, 0.1957, 0.7158)
Cl (0.1957, 0.7158, 0.1957)
Cl (0.2842, 0.8043, 0.8043)
Cl (0.3774, 0.3774, 0.8537)
Cl (0.3774, 0.8537, 0.3774)
Cl (0.6226, 0.1463, 0.6226)
Cl (0.6226, 0.6226, 0.1463)
Cl (0.7158, 0.1957, 0.1957)
Cl (0.8043, 0.2842, 0.8043)
Cl (0.8043, 0.8043, 0.2842)
Cl (0.8537, 0.3774, 0.3774)

How do the records compare in M_tot? In the order shown, they have 2.0; 1.0 μB/f.u..
How do the records compare in total DFT energy (no corrections)? In the order shown, they have -31.055; -69.588 eV per cell.
How do the records compare in calculated density? In the order shown, they have 3.915; 5.002 g cm⁻³.